First-principles (GGA-PBE) data for Cd2TcMo after structural relaxation, as listed in Alexandria via LeMat-Bulk.

a = 3.338 Å, b = 4.381 Å, c = 4.775 Å
α = 90.00°, β = 90.00°, γ = 90.00°
Sites, in units of the cell vectors:
1 Cd 0.500 0.500 0.000
2 Tc 0.000 0.500 0.500
3 Mo 0.500 0.000 0.500
4 Cd 0.000 0.000 0.000

The calculation puts the density of states at the Fermi level at 3.411 states/eV/f.u. The energy of formation from the pure elements comes out at 492 meV per atom. The value obtained for the energy above the most stable polymorph in this dataset is 306 meV/atom.